Below is crystalline CaReTe2 at its relaxed geometry, with properties calculated at the PBE level.

Its volume is 22.10 A^3/atom. As for the total energy: -5.090 eV/atom. Its space-group type is No. 225. The uncorrected formation energy comes out at 0.4 eV per formula unit. The polymorph energy (0 for the lowest one) comes out at 29.7 kJ per mole of atoms. Its density of states at the Fermi level is 0.925 states/eV per atom.

Cell: 5.000 5.000 5.000 Å, 60.00 60.00 60.00°
Last column: magnetic moment on the atom in μB.
Fractional coordinates of all 4 atoms:
Re 0.500 0.500 0.500  0.57
Te 0.750 0.750 0.750  0.00
Ca 0.000 0.000 0.000  0.02
Te 0.250 0.250 0.250  0.00